# 1
UAs2Pt | GGA-PBE | optimized geometry

Cell lengths 2.9806, 2.9806, 9.8420 Å; angles 81.29, 81.29, 60.00 degrees
Closest atoms and distances in Å follow each position.
Sites, in units of the cell vectors:
1 As 0.0832 0.0832 0.7503  1 Pt 2.42
2 As 0.9168 0.9168 0.2497  1 Pt 2.42
3 U 0.5000 0.5000 0.5000  6 As 2.97, 6 U 2.98
4 Pt 0.0000 0.0000 0.0000  2 As 2.42

Output
E_form = -11.3 kJ/mol of atoms
Space-group type = R-3m (166)
Raw total energy = -27.096 eV per cell
Offset from the most stable computed form = 463 meV per atom


# 2
U2As4Pt | GGA-PBE | optimized geometry

Cell lengths 4.0111, 4.0111, 9.0668 Å; angles 90.00, 90.00, 90.00 degrees
Closest atoms and distances in Å follow each position.
Sites, in units of the cell vectors:
1 U 0.5000 0.0000 0.7494  8 As 2.92-3.02, 2 Pt 3.03
2 U 0.0000 0.5000 0.2506  8 As 2.92-3.02, 2 Pt 3.03
3 As 0.5000 0.0000 0.1730  2 Pt 2.55
4 As 0.0000 0.5000 0.8270  2 Pt 2.55
5 As 0.5000 0.5000 0.5000  4 As 2.84, 4 U 3.02
6 As 0.0000 0.0000 0.5000  4 As 2.84, 4 U 3.02
7 Pt 0.5000 0.5000 0.0000  4 As 2.55

Output
E_form = -62.7 kJ/mol of atoms
Space-group type = P-4m2 (115)
Raw total energy = -51.763 eV per cell


# 3
UAsPt | GGA-PBE | optimized geometry

Cell lengths 3.6550, 3.6550, 5.1551 Å; angles 110.76, 110.76, 90.00 degrees
Closest atoms and distances in Å follow each position.
Sites, in units of the cell vectors:
1 As 0.6219 0.6219 0.2438  5 Pt 2.87-3.04, 5 U 2.97-3.01
2 U 0.2848 0.2848 0.5697  5 Pt 2.95-3.05, 5 As 2.97-3.01
3 Pt 0.9433 0.9433 0.8865  5 As 2.87-3.04, 5 U 2.95-3.05

Output
E_form = -51.1 kJ/mol of atoms
Space-group type = I4mm (107)
Raw total energy = -23.568 eV per cell


# 4
VAsPt3 | GGA-PBE | optimized geometry

Cell lengths 4.6456, 4.6456, 4.6456 Å; angles 90.00, 90.00, 90.00 degrees
Closest atoms and distances in Å follow each position.
Sites, in units of the cell vectors:
1 As 0.0000 0.0000 0.0000  6 Pt 2.32
2 Pt 0.0000 0.5000 0.0000  2 As 2.32
3 Pt 0.0000 0.0000 0.5000  2 As 2.32
4 Pt 0.5000 0.0000 0.0000  2 As 2.32
5 V 0.5000 0.5000 0.5000  12 Pt 3.28

Output
E_form = 53.9 kJ/mol of atoms
Space-group type = Pm-3m (221)
Raw total energy = -29.096 eV per cell
Offset from the most stable computed form = 0 meV per atom


# 5
VAsPt3 | GGA-PBE | optimized geometry

Cell lengths 4.6437, 4.6437, 4.6437 Å; angles 90.00, 90.00, 90.00 degrees
Closest atoms and distances in Å follow each position.
Sites, in units of the cell vectors:
1 As 0.5000 0.5000 0.5000  12 Pt 3.28
2 Pt 0.0000 0.5000 0.0000  2 V 2.32
3 Pt 0.0000 0.0000 0.5000  2 V 2.32
4 Pt 0.5000 0.0000 0.0000  2 V 2.32
5 V 0.0000 0.0000 0.0000  6 Pt 2.32

Output
E_form = 79.9 kJ/mol of atoms
Space-group type = Pm-3m (221)
Raw total energy = -27.748 eV per cell
Offset from the most stable computed form = 270 meV per atom


# 6
V2As2Pt | GGA-PBE | optimized geometry

Cell lengths 6.9373, 6.9373, 3.1383 Å; angles 90.00, 90.00, 90.00 degrees
Closest atoms and distances in Å follow each position.
Sites, in units of the cell vectors:
1 As 0.3446 0.8446 0.0000  6 V 2.56-2.58, 2 Pt 2.62
2 As 0.8446 0.6554 0.0000  6 V 2.56-2.58, 2 Pt 2.62
3 As 0.6554 0.1554 0.0000  6 V 2.56-2.58, 2 Pt 2.62
4 As 0.1554 0.3446 0.0000  6 V 2.56-2.58, 2 Pt 2.62
5 Pt 0.0000 0.0000 0.0000  4 As 2.62
6 Pt 0.5000 0.5000 0.0000  4 As 2.62
7 V 0.1357 0.6357 0.5000  6 As 2.56-2.58, 1 V 2.66
8 V 0.6357 0.8643 0.5000  6 As 2.56-2.58, 1 V 2.66
9 V 0.8643 0.3643 0.5000  6 As 2.56-2.58, 1 V 2.66
10 V 0.3643 0.1357 0.5000  6 As 2.56-2.58, 1 V 2.66

Output
E_form = -22.0 kJ/mol of atoms
Space-group type = P4/mbm (127)
Raw total energy = -69.435 eV per cell


# 7
AsPt2W | GGA-PBE | optimized geometry

Cell lengths 5.0132, 5.0132, 4.5376 Å; angles 87.05, 87.05, 34.43 degrees
Closest atoms and distances in Å follow each position.
Sites, in units of the cell vectors:
1 As 0.2500 0.2500 0.2500  2 Pt 2.53, 4 W 2.71
2 W 0.7500 0.7500 0.7500  4 As 2.71, 6 Pt 2.81-2.88, 2 W 2.97
3 Pt 0.0226 0.0226 0.9911  1 As 2.53, 4 Pt 2.70-2.79, 2 W 2.81
4 Pt 0.4774 0.4774 0.5089  1 As 2.53, 4 Pt 2.70-2.79, 2 W 2.81

Output
E_form = 5.5 kJ/mol of atoms
Space-group type = C2/m (12)
Raw total energy = -29.457 eV per cell


# 8
AsPt2W | GGA-PBE | optimized geometry

Cell lengths 6.2920, 6.2920, 6.2920 Å; angles 154.73, 138.36, 49.33 degrees
Closest atoms and distances in Å follow each position.
Sites, in units of the cell vectors:
1 As 0.3070 0.8070 0.5000  2 As 2.75, 6 Pt 2.80-2.82, 2 W 2.81
2 W 0.5214 0.5214 0.0000  6 Pt 2.63-2.74, 2 W 2.75, 2 As 2.81
3 Pt 0.9543 0.9543 0.0000  4 W 2.74, 4 Pt 2.75-3.04, 2 As 2.80
4 Pt 0.7173 0.2173 0.5000  2 W 2.63, 2 Pt 2.75, 4 As 2.82

Output
E_form = 2.6 kJ/mol of atoms
Space-group type = Imm2 (44)
Raw total energy = -29.577 eV per cell


# 9
AsPtW3 | GGA-PBE | optimized geometry

Cell lengths 4.5526, 4.5526, 4.5526 Å; angles 90.00, 90.00, 90.00 degrees
Closest atoms and distances in Å follow each position.
Sites, in units of the cell vectors:
1 As 0.0000 0.0000 0.0000  6 W 2.28
2 W 0.0000 0.5000 0.0000  2 As 2.28
3 W 0.0000 0.0000 0.5000  2 As 2.28
4 W 0.5000 0.0000 0.0000  2 As 2.28
5 Pt 0.5000 0.5000 0.5000  12 W 3.22

Output
E_form = 150.8 kJ/mol of atoms
Space-group type = Pm-3m (221)
Raw total energy = -41.736 eV per cell
Offset from the most stable computed form = 0 meV per atom


# 10
AsPt3W | GGA-PBE | optimized geometry

Cell lengths 4.6232, 4.6232, 4.6232 Å; angles 90.00, 90.00, 90.00 degrees
Closest atoms and distances in Å follow each position.
Sites, in units of the cell vectors:
1 As 0.0000 0.0000 0.0000  6 Pt 2.31
2 W 0.5000 0.5000 0.5000  12 Pt 3.27
3 Pt 0.0000 0.5000 0.0000  2 As 2.31
4 Pt 0.0000 0.0000 0.5000  2 As 2.31
5 Pt 0.5000 0.0000 0.0000  2 As 2.31

Output
E_form = 103.5 kJ/mol of atoms
Space-group type = Pm-3m (221)
Raw total energy = -30.362 eV per cell
Offset from the most stable computed form = 0 meV per atom


# 11
AsPt2W | GGA-PBE | optimized geometry

Cell lengths 5.8598, 5.8598, 6.7427 Å; angles 64.24, 64.24, 90.00 degrees
Closest atoms and distances in Å follow each position.
Sites, in units of the cell vectors:
1 As 0.5000 0.5000 0.0000  4 Pt 2.46
2 As 0.2500 0.7500 0.5000  4 Pt 2.46
3 W 0.0000 0.0000 0.0000  4 Pt 2.46
4 W 0.7500 0.2500 0.5000  4 Pt 2.46
5 Pt 0.6250 0.1250 0.2500  2 As 2.46, 2 W 2.46
6 Pt 0.1250 0.6250 0.2500  2 As 2.46, 2 W 2.46
7 Pt 0.3750 0.3750 0.7500  2 As 2.46, 2 W 2.46
8 Pt 0.8750 0.8750 0.7500  2 As 2.46, 2 W 2.46

Output
E_form = 44.5 kJ/mol of atoms
Space-group type = I-42d (122)
Raw total energy = -55.681 eV per cell


# 12
AsPt2W | GGA-PBE | optimized geometry

Cell lengths 4.3673, 3.8156, 3.8156 Å; angles 90.00, 90.00, 90.00 degrees
Closest atoms and distances in Å follow each position.
Sites, in units of the cell vectors:
1 As 0.5000 0.0000 0.5000  4 W 2.70, 8 Pt 2.90
2 W 0.5000 0.5000 0.0000  4 As 2.70, 8 Pt 2.90
3 Pt 0.0000 0.0000 0.0000  4 Pt 2.70, 4 W 2.90, 4 As 2.90
4 Pt 0.0000 0.5000 0.5000  4 Pt 2.70, 4 W 2.90, 4 As 2.90

Output
E_form = 15.0 kJ/mol of atoms
Space-group type = P4/mmm (123)
Raw total energy = -29.061 eV per cell